No. 1
First-principles (GGA-PBEsol) data for crystalline Ag2PPb at its relaxed geometry, as listed in Alexandria via LeMat-Bulk.

Calculated values
The total magnetic moment comes out at 0.00 μB per atom. The space group is I4/mmm (139). Its energy relative to the lowest polymorph listed for this composition is 16 meV/atom. The density comes out at 9.77 g/cm³.

a b c (Å): 4.345 4.345 5.113
angles (deg): 115.14 115.14 90.00
Fractional positions:
Ag (0.750, 0.250, 0.500)
Ag (0.250, 0.750, 0.500)
Pb (0.000, 0.000, 0.000)
P (0.500, 0.500, 0.000)

***

No. 2
First-principles (GGA-PBEsol) data for crystalline AgP2Pb at its relaxed geometry, as listed in Alexandria via LeMat-Bulk.

Calculated values
The total magnetic moment comes out at 0.00 μB per atom. The space group is I4/mmm (139). The calculation puts the total energy at -4.1704 eV per atom. The density comes out at 8.05 g/cm³.

a b c (Å): 4.018 4.018 5.592
angles (deg): 111.05 111.05 90.00
Fractional positions:
Pb (0.500, 0.500, 0.000)
P (0.750, 0.250, 0.500)
P (0.250, 0.750, 0.500)
Ag (0.000, 0.000, 0.000)

***

No. 3
First-principles (GGA-PBEsol) data for crystalline AgP2Pb at its relaxed geometry, as listed in Alexandria via LeMat-Bulk.

Calculated values
The total magnetic moment comes out at 0.00 μB per atom. The space group is I-4m2 (119). The calculation puts the total energy at -4.1744 eV per atom. The density comes out at 8.20 g/cm³.

a b c (Å): 4.513 4.513 4.922
angles (deg): 117.29 117.29 90.00
Fractional positions:
Pb (0.500, 0.500, 0.000)
P (0.750, 0.250, 0.500)
P (0.000, 0.000, 0.000)
Ag (0.250, 0.750, 0.500)